No. 1
# Cs3Al2Sn4 (PBE, optimized geometry)
data_Cs3Al2Sn4
_cell_length_a 18.0458
_cell_length_b 11.4469
_cell_length_c 7.1664
_cell_angle_alpha 90.00
_cell_angle_beta 112.11
_cell_angle_gamma 90.00
_space_group_name_H-M_alt 'C 1 2/c 1'
_space_group_IT_number 15
loop_
_space_group_symop_operation_xyz
'x,y,z'
'-x,-y,-z'
'-x,y,-z+1/2'
'x,-y,z+1/2'
'x+1/2,y+1/2,z'
'-x+1/2,-y+1/2,-z'
'-x+1/2,y+1/2,-z+1/2'
'x+1/2,-y+1/2,z+1/2'
loop_
_atom_site_label
_atom_site_type_symbol
_atom_site_fract_x
_atom_site_fract_y
_atom_site_fract_z
Cs1 Cs 0.0000 0.0441 0.2500
Cs2 Cs 0.0997 0.3869 0.0899
Al1 Al 0.2195 0.1340 0.4309
Sn1 Sn 0.1469 0.2668 0.6508
Sn2 Sn 0.2095 0.1039 0.0328
# Calculated formation energy: -1.074 eV per formula unit
# Crystal system: monoclinic

No. 2
# Er3Cr5Se12 (PBE, optimized geometry)
data_Er3Cr5Se12
_cell_length_a 15.6175
_cell_length_b 15.6175
_cell_length_c 15.6175
_cell_angle_alpha 90.00
_cell_angle_beta 90.00
_cell_angle_gamma 90.00
_space_group_name_H-M_alt 'I a -3 d'
_space_group_IT_number 230
_space_group_name_Hall '-I 4bd 2c 3'
loop_
_atom_site_label
_atom_site_type_symbol
_atom_site_fract_x
_atom_site_fract_y
_atom_site_fract_z
Er1 Er 0.0000 0.2500 0.1250
Cr1 Cr 0.0000 0.0000 0.0000
Cr2 Cr 0.0000 0.2500 0.3750
Se1 Se 0.0267 0.0602 0.6498
# Crystal system: cubic
# Uncorrected formation energy: -0.857 eV per atom

No. 3
# Ca2PrHg (PBE, optimized geometry)
data_Ca2PrHg
_cell_length_a 4.8956
_cell_length_b 4.8956
_cell_length_c 5.3318
_cell_angle_alpha 90.00
_cell_angle_beta 90.00
_cell_angle_gamma 90.00
_space_group_name_H-M_alt 'P 4/m m m'
_space_group_IT_number 123
_space_group_name_Hall '-P 4 2'
loop_
_atom_site_label
_atom_site_type_symbol
_atom_site_fract_x
_atom_site_fract_y
_atom_site_fract_z
Ca1 Ca 0.0000 0.5000 0.0000
Pr1 Pr 0.0000 0.0000 0.5000
Hg1 Hg 0.5000 0.5000 0.5000
# Polymorph energy (0 for the lowest one): 0.0705 eV per atom
# Calculated formation energy: -0.592 eV per formula unit
# Crystal system: tetragonal

no.,electronic total energy (eV per cell),size of the total moment (μB per formula unit),D(E_F) (states/eV per atom)
1,-108.53,0.000,0.210
2,-966.03,15.000,0.502
3,-9.68,0.000,1.499